Tm2Ga4Cu5 (GGA-PBE, optimized geometry); formation enthalpy at 0 K = -0.279 eV/atom; DOS(E_F) = 0.561 states/eV per atom; DFT total energy = -4.055 eV per atom; mass density = 8.37 g/cm3; total magnetization = 0.00 μB/atom
1.0
-1.799 -3.539 -3.753
-1.213 -5.022 1.341
-7.868 0.288 -0.475
Tm Ga Cu
2 4 5
direct
0.862 0.000 0.276 Tm
0.138 0.000 0.724 Tm
0.481 0.301 0.736 Ga
0.519 0.699 0.264 Ga
0.218 0.301 0.264 Ga
0.782 0.699 0.736 Ga
0.500 0.000 0.000 Cu
0.000 0.500 0.000 Cu
0.500 0.500 0.000 Cu
0.250 0.500 0.500 Cu
0.750 0.500 0.500 Cu

Tm2Ga2Cu15 (GGA-PBE, optimized geometry); formation enthalpy at 0 K = -0.160 eV/atom; DOS(E_F) = 0.405 states/eV per atom; DFT total energy = -4.184 eV per atom; mass density = 8.91 g/cm3; total magnetization = 0.00 μB/atom
1.0
-5.700 -1.976 -2.385
2.263 -2.737 -5.429
0.249 -6.106 2.176
Tm Ga Cu
2 2 15
direct
0.349 0.349 0.349 Tm
0.651 0.651 0.651 Tm
0.104 0.104 0.104 Ga
0.896 0.896 0.896 Ga
0.500 0.000 0.000 Cu
0.000 0.000 0.500 Cu
0.000 0.500 0.000 Cu
0.000 0.696 0.304 Cu
0.696 0.304 0.000 Cu
0.304 0.000 0.696 Cu
0.304 0.696 0.000 Cu
0.696 0.000 0.304 Cu
0.000 0.304 0.696 Cu
0.157 0.651 0.651 Cu
0.651 0.651 0.157 Cu
0.651 0.157 0.651 Cu
0.843 0.349 0.349 Cu
0.349 0.349 0.843 Cu
0.349 0.843 0.349 Cu

TmGa2Cu8 (GGA-PBE, optimized geometry); formation enthalpy at 0 K = 0.170 eV/atom; DOS(E_F) = 0.141 states/eV per atom; DFT total energy = -3.766 eV per atom; mass density = 7.44 g/cm3; total magnetization = 0.00 μB/atom
1.0
6.174 0.000 0.000
0.000 6.174 0.000
0.000 0.000 4.780
Tm Ga Cu
1 2 8
direct
0.500 0.500 0.500 Tm
0.500 0.000 0.000 Ga
0.000 0.500 0.000 Ga
0.801 0.801 0.252 Cu
0.801 0.199 0.748 Cu
0.801 0.801 0.748 Cu
0.801 0.199 0.252 Cu
0.199 0.801 0.252 Cu
0.199 0.801 0.748 Cu
0.199 0.199 0.252 Cu
0.199 0.199 0.748 Cu